A relaxed structure of Li2B2Se5, computed with PBEsol.

Results
Density (g/cm³): 4.41
V (A^3/atom): 18.0
Total DFT energy (no corrections) (eV/atom): -4.67
Space-group type: No. 15
Crystal system: monoclinic
DOS(E_F) (states/eV/atom): 0.00

abc: 5.9201 5.9201 12.4166
angles: 107.98 107.98 52.55
Last column: nearest neighbours and their distance in Å.
Atoms (fractional coordinates):
Li  0.1117  0.1451  0.4333  5 Se 2.55-2.78
Li  0.1451  0.1117  0.9333  5 Se 2.55-2.78
Li  0.8549  0.8883  0.0667  5 Se 2.55-2.78
Li  0.8883  0.8549  0.5667  5 Se 2.55-2.78
B  0.3075  0.4121  0.2933  4 Se 2.05-2.07
B  0.4121  0.3075  0.7933  4 Se 2.05-2.07
B  0.5879  0.6925  0.2067  4 Se 2.05-2.07
B  0.6925  0.5879  0.7067  4 Se 2.05-2.07
Se  0.0774  0.4276  0.6591  2 B 2.05-2.07
Se  0.2415  0.7585  0.2500  2 B 2.06
Se  0.2656  0.6035  0.9393  1 B 2.07
Se  0.3965  0.7344  0.5607  1 B 2.07
Se  0.4276  0.0774  0.1591  2 B 2.05-2.07
Se  0.5724  0.9226  0.8409  2 B 2.05-2.07
Se  0.6035  0.2656  0.4393  1 B 2.07
Se  0.7344  0.3965  0.0607  1 B 2.07
Se  0.7585  0.2415  0.7500  2 B 2.06
Se  0.9226  0.5724  0.3409  2 B 2.05-2.07



A relaxed structure of KAlZn4, computed with PBEsol.

Results
Density (g/cm³): 4.96
DFT formation energy (eV per formula unit): 1.2
V (A^3/atom): 18.3
Space-group type: No. 216
Crystal system: cubic
DOS(E_F) (states/eV/atom): 0.47

abc: 5.3753 5.3753 5.3753
angles: 60.00 60.00 60.00
Last column: nearest neighbours and their distance in Å.
Atoms (fractional coordinates):
K  0.0000  0.0000  0.0000  12 Zn 3.15, 4 Al 3.29
Al  0.7500  0.7500  0.7500  12 Zn 3.15, 4 K 3.29
Zn  0.3758  0.3758  0.3758  6 Zn 2.67-2.71
Zn  0.3758  0.3758  0.8725  6 Zn 2.67-2.71
Zn  0.3758  0.8725  0.3758  6 Zn 2.67-2.71
Zn  0.8725  0.3758  0.3758  6 Zn 2.67-2.71



A relaxed structure of RbSmC2O6, computed with PBEsol.

Results
Density (g/cm³): 4.24
V (A^3/atom): 13.9
Total DFT energy (no corrections) (eV/atom): -7.85
Space-group type: No. 15
Crystal system: monoclinic
DOS(E_F) (states/eV/atom): 0.00

abc: 6.4860 6.4860 7.1144
angles: 103.52 103.52 96.09
Last column: nearest neighbours and their distance in Å.
Atoms (fractional coordinates):
Rb  0.1183  0.8817  0.7500  8 O 2.87-3.15, 2 C 3.18
Rb  0.8817  0.1183  0.2500  8 O 2.87-3.15, 2 C 3.18
Sm  0.4044  0.5956  0.2500  8 O 2.33-2.52
Sm  0.5956  0.4044  0.7500  8 O 2.33-2.52
C  0.1484  0.3956  0.7482  3 O 1.27-1.32
C  0.3956  0.1484  0.2482  3 O 1.27-1.32
C  0.6044  0.8516  0.7518  3 O 1.27-1.32
C  0.8516  0.6044  0.2518  3 O 1.27-1.32
O  0.0506  0.5980  0.2685  1 C 1.27
O  0.2149  0.2612  0.6202  1 C 1.29
O  0.2612  0.2149  0.1202  1 C 1.29
O  0.2986  0.5315  0.8952  1 C 1.32
O  0.4020  0.9494  0.2315  1 C 1.27
O  0.4685  0.7014  0.6048  1 C 1.32
O  0.5315  0.2986  0.3952  1 C 1.32
O  0.5980  0.0506  0.7685  1 C 1.27
O  0.7014  0.4685  0.1048  1 C 1.32
O  0.7388  0.7851  0.8798  1 C 1.29
O  0.7851  0.7388  0.3798  1 C 1.29
O  0.9494  0.4020  0.7315  1 C 1.27



A relaxed structure of KIn2Ni, computed with PBEsol.

Results
Density (g/cm³): 6.33
DFT formation energy (eV per formula unit): 1.3
V (A^3/atom): 21.5
Space-group type: No. 225
Crystal system: cubic
DOS(E_F) (states/eV/atom): 0.56

abc: 4.9514 4.9514 4.9514
angles: 60.00 60.00 60.00
Last column: nearest neighbours and their distance in Å.
Atoms (fractional coordinates):
K  0.0000  0.0000  0.0000  8 In 3.03
In  0.2500  0.2500  0.2500  4 Ni 3.03, 4 K 3.03
In  0.7500  0.7500  0.7500  4 Ni 3.03, 4 K 3.03
Ni  0.5000  0.5000  0.5000  8 In 3.03



A relaxed structure of TiAlPC2, computed with PBEsol.

Results
Density (g/cm³): 2.68
DFT formation energy (eV per formula unit): 8.5
V (A^3/atom): 16.1
Space-group type: No. 123
Crystal system: tetragonal
DOS(E_F) (states/eV/atom): 0.58

abc: 3.8596 3.8596 5.4012
angles: 90.00 90.00 90.00
Last column: nearest neighbours and their distance in Å.
Atoms (fractional coordinates):
Ti  0.0000  0.0000  0.0000  4 C 1.93
Al  0.0000  0.0000  0.5000  2 Ti 2.70, 4 P 2.73
P  0.5000  0.5000  0.5000  4 Al 2.73
C  0.0000  0.5000  0.0000  2 Ti 1.93
C  0.5000  0.0000  0.0000  2 Ti 1.93



A relaxed structure of NaCd2Pd2, computed with PBEsol.

Results
Density (g/cm³): 8.22
DFT formation energy (eV per formula unit): -1.5
V (A^3/atom): 18.6
Energy above the lowest structure with this stoichiometry (meV per atom): 0
Space-group type: No. 127
Crystal system: tetragonal
DOS(E_F) (states/eV/atom): 0.31

abc: 7.9560 7.9560 2.9389
angles: 90.00 90.00 90.00
Last column: nearest neighbours and their distance in Å.
Atoms (fractional coordinates):
Na  0.0000  0.0000  0.0000  2 Na 2.94, 4 Cd 3.07
Na  0.5000  0.5000  0.0000  2 Na 2.94, 4 Cd 3.07
Cd  0.1412  0.3588  0.0000  6 Pd 2.73-2.78, 2 Cd 2.94
Cd  0.3588  0.8588  0.0000  6 Pd 2.73-2.78, 2 Cd 2.94
Cd  0.6412  0.1412  0.0000  6 Pd 2.73-2.78, 2 Cd 2.94
Cd  0.8588  0.6412  0.0000  6 Pd 2.73-2.78, 2 Cd 2.94
Pd  0.1545  0.6545  0.5000  6 Cd 2.73-2.78, 2 Pd 2.94
Pd  0.3455  0.1545  0.5000  6 Cd 2.73-2.78, 2 Pd 2.94
Pd  0.6545  0.8455  0.5000  6 Cd 2.73-2.78, 2 Pd 2.94
Pd  0.8455  0.3455  0.5000  6 Cd 2.73-2.78, 2 Pd 2.94



A relaxed structure of ZrHg2Os, computed with PBEsol.

Results
Density (g/cm³): 15.52
DFT formation energy (eV per formula unit): 1.5
V (A^3/atom): 18.3
Energy above the lowest structure with this stoichiometry (meV per atom): 36
Space-group type: No. 123
Crystal system: tetragonal
DOS(E_F) (states/eV/atom): 0.88

abc: 2.9907 2.9907 8.1663
angles: 90.00 90.00 90.00
Last column: nearest neighbours and their distance in Å.
Atoms (fractional coordinates):
Zr  0.0000  0.0000  0.0000  4 Zr 2.99, 8 Hg 3.03
Hg  0.5000  0.5000  0.2658  4 Os 2.85, 4 Hg 2.99, 4 Zr 3.03
Hg  0.5000  0.5000  0.7342  4 Os 2.85, 4 Hg 2.99, 4 Zr 3.03
Os  0.0000  0.0000  0.5000  8 Hg 2.85, 4 Os 2.99



A relaxed structure of MnNiN2, computed with PBEsol.

Results
Density (g/cm³): 6.19
V (A^3/atom): 9.5
Energy above the lowest structure with this stoichiometry (meV per atom): 0
Space-group type: No. 122
Crystal system: tetragonal
DOS(E_F) (states/eV/atom): 0.73

abc: 5.1713 5.1713 5.1713
angles: 131.50 131.50 71.02
Last column: nearest neighbours and their distance in Å.
Atoms (fractional coordinates):
Mn  0.0000  0.0000  0.0000  4 N 1.78
Mn  0.7500  0.2500  0.5000  4 N 1.78
Ni  0.2500  0.7500  0.5000  4 N 1.89
Ni  0.5000  0.5000  0.0000  4 N 1.89
N  0.1027  0.6250  0.9777  2 Mn 1.78, 2 Ni 1.89
N  0.3750  0.3527  0.4777  2 Mn 1.78, 2 Ni 1.89
N  0.6473  0.1250  0.0223  2 Mn 1.78, 2 Ni 1.89
N  0.8750  0.8973  0.5223  2 Mn 1.78, 2 Ni 1.89



A relaxed structure of TaIrCl, computed with PBEsol.

Results
Density (g/cm³): 13.30
V (A^3/atom): 17.0
Energy above the lowest structure with this stoichiometry (meV per atom): 0
Space-group type: No. 107
Crystal system: tetragonal
DOS(E_F) (states/eV/atom): 0.51

abc: 6.2644 6.2644 6.2644
angles: 152.88 152.88 38.73
Last column: nearest neighbours and their distance in Å.
Atoms (fractional coordinates):
Ta  0.0000  0.0000  0.0000  4 Ir 2.63, 4 Cl 2.66, 4 Ta 2.94
Ir  0.3633  0.3633  0.0000  4 Ta 2.63, 4 Ir 2.94
Cl  0.6410  0.6410  0.0000  4 Ta 2.66, 4 Cl 2.94



A relaxed structure of K2Cr2AsHO10, computed with PBEsol.

Results
Density (g/cm³): 2.84
V (A^3/atom): 15.3
Total DFT energy (no corrections) (eV/atom): -6.87
Space-group type: No. 154
Crystal system: trigonal
DOS(E_F) (states/eV/atom): 0.00

abc: 7.6698 7.6698 14.3824
angles: 90.00 90.00 120.00
Last column: nearest neighbours and their distance in Å.
Atoms (fractional coordinates):
K  0.0000  0.5458  0.3333  6 O 2.69-2.77, 1 H 2.98
K  0.0000  0.6453  0.8333  10 O 2.77-3.08
K  0.3547  0.3547  0.5000  10 O 2.77-3.08
K  0.4542  0.4542  0.0000  6 O 2.69-2.77, 1 H 2.98
K  0.5458  0.0000  0.6667  6 O 2.69-2.77, 1 H 2.98
K  0.6453  0.0000  0.1667  10 O 2.77-3.08
Cr  0.0170  0.5823  0.0733  3 O 1.61
Cr  0.4177  0.4347  0.7400  3 O 1.61
Cr  0.4347  0.4177  0.2600  3 O 1.61
Cr  0.5653  0.9830  0.4067  3 O 1.61
Cr  0.5823  0.0170  0.9267  3 O 1.61
Cr  0.9830  0.5653  0.5933  3 O 1.61
As  0.0000  0.1333  0.8333  4 O 1.69-1.74
As  0.1333  0.0000  0.1667  4 O 1.69-1.74
As  0.8667  0.8667  0.5000  4 O 1.69-1.74
H  0.0000  0.9348  0.3333  2 O 1.20
H  0.0652  0.0652  0.0000  2 O 1.20
H  0.9348  0.0000  0.6667  2 O 1.20
O  0.0416  0.9494  0.4148  1 H 1.20
O  0.0506  0.0922  0.0814  1 H 1.20
O  0.0922  0.0506  0.9186  1 H 1.20
O  0.0922  0.5028  0.5152  1 Cr 1.61
O  0.1444  0.5286  0.0017  1 Cr 1.61
O  0.1450  0.7599  0.6501  1 Cr 1.61
O  0.1816  0.3724  0.7967  1 As 1.74, 1 Cr 1.82
O  0.1907  0.8184  0.1300  1 As 1.74, 1 Cr 1.82
O  0.2401  0.3851  0.3168  1 Cr 1.61
O  0.3724  0.1816  0.2033  1 As 1.74, 1 Cr 1.82
O  0.3842  0.8556  0.3350  1 Cr 1.61
O  0.3851  0.2401  0.6832  1 Cr 1.61
O  0.4106  0.9078  0.8486  1 Cr 1.61
O  0.4714  0.6158  0.6684  1 Cr 1.61
O  0.4972  0.5894  0.1819  1 Cr 1.61
O  0.5028  0.0922  0.4848  1 Cr 1.61
O  0.5286  0.1444  0.9983  1 Cr 1.61
O  0.5894  0.4972  0.8181  1 Cr 1.61
O  0.6149  0.8550  0.9835  1 Cr 1.61
O  0.6158  0.4714  0.3316  1 Cr 1.61
O  0.6276  0.8093  0.4633  1 As 1.74, 1 Cr 1.82
O  0.7599  0.1450  0.3499  1 Cr 1.61
O  0.8093  0.6276  0.5367  1 As 1.74, 1 Cr 1.82
O  0.8184  0.1907  0.8700  1 As 1.74, 1 Cr 1.82
O  0.8550  0.6149  0.0165  1 Cr 1.61
O  0.8556  0.3842  0.6650  1 Cr 1.61
O  0.9078  0.4106  0.1514  1 Cr 1.61
O  0.9078  0.9584  0.7481  1 H 1.20
O  0.9494  0.0416  0.5852  1 H 1.20
O  0.9584  0.9078  0.2519  1 H 1.20



A relaxed structure of KAsIF2, computed with PBEsol.

Results
Density (g/cm³): 3.87
V (A^3/atom): 23.9
Total DFT energy (no corrections) (eV/atom): -3.69
Space-group type: No. 123
Crystal system: tetragonal
DOS(E_F) (states/eV/atom): 0.34

abc: 4.4458 4.4458 6.0584
angles: 90.00 90.00 90.00
Last column: nearest neighbours and their distance in Å.
Atoms (fractional coordinates):
K  0.0000  0.0000  0.0000  4 I 3.14
As  0.5000  0.5000  0.5000  4 F 2.22
I  0.5000  0.5000  0.0000  2 As 3.03, 4 K 3.14
F  0.0000  0.5000  0.5000  2 As 2.22
F  0.5000  0.0000  0.5000  2 As 2.22



Copy entry 2 word for word.
A relaxed structure of KAlZn4, computed with PBEsol.

Results
Density (g/cm³): 4.96
DFT formation energy (eV per formula unit): 1.2
V (A^3/atom): 18.3
Space-group type: No. 216
Crystal system: cubic
DOS(E_F) (states/eV/atom): 0.47

abc: 5.3753 5.3753 5.3753
angles: 60.00 60.00 60.00
Last column: nearest neighbours and their distance in Å.
Atoms (fractional coordinates):
K  0.0000  0.0000  0.0000  12 Zn 3.15, 4 Al 3.29
Al  0.7500  0.7500  0.7500  12 Zn 3.15, 4 K 3.29
Zn  0.3758  0.3758  0.3758  6 Zn 2.67-2.71
Zn  0.3758  0.3758  0.8725  6 Zn 2.67-2.71
Zn  0.3758  0.8725  0.3758  6 Zn 2.67-2.71
Zn  0.8725  0.3758  0.3758  6 Zn 2.67-2.71